No. 1
Material: TiInAu
Method: DFT, PBE
State: relaxed

The value obtained for the density is 10.5 g/cm3. The calculated volume comes out at 113.57 Å³ per cell. The density of states at the Fermi level is 5.04 states/eV per cell. The calculation puts the raw total energy at -28.34 eV per cell.

a b c (Å): 3.1420 4.1859 8.6353
angles (deg): 90.00 90.00 90.00
Closest atoms and distances in Å follow each position.
Space group Imm2 (No. 44)
Unique sites:
Ti 0.0000 0.0000 0.0000 (multiplicity 2)  5 Au 2.87-2.99, 5 In 2.91-2.97, 2 Ti 3.14
In 0.0000 0.0000 0.3373 (multiplicity 2)  5 Au 2.85-3.00, 5 Ti 2.91-2.97, 2 In 3.14
Au 0.0000 0.0000 0.6678 (multiplicity 2)  5 In 2.85-3.00, 5 Ti 2.87-2.99, 2 Au 3.14

---

No. 2
Material: BaSc2Pb
Method: DFT, PBE
State: relaxed

The value obtained for the density is 5.5 g/cm3. The calculated volume comes out at 261.23 Å³ per cell. The density of states at the Fermi level is 10.87 states/eV per cell. The calculation puts the raw total energy at -36.39 eV per cell.

a b c (Å): 10.4143 3.5250 7.1784
angles (deg): 90.00 97.56 90.00
Closest atoms and distances in Å follow each position.
Space group Cm (No. 8)
Unique sites:
Ba 0.0000 0.0000 0.0000 (multiplicity 2)  2 Ba 3.52, 3 Sc 3.60-3.94, 3 Pb 3.62-3.63
Sc 0.0143 0.5000 0.4995 (multiplicity 2)  3 Sc 3.09-3.13, 3 Pb 3.21-3.23
Sc 0.2763 0.5000 0.3416 (multiplicity 2)  3 Sc 3.09-3.13, 2 Pb 3.12
Pb 0.2518 0.0000 0.6945 (multiplicity 2)  5 Sc 3.12-3.23

---

What is the calculated volume in the second record? 261.23 Å³ per cell

---

What is the raw total energy in the first record? -28.34 eV per cell

---

Among the records above, which one has the lowest raw total energy? BaSc2Pb